1.
Density functional theory data (PBE) for a relaxed structure of Ac4TlSb2Se.

POSCAR file:
```
Ac4TlSb2Se
1.0
4.677 0.000 0.000
0.000 8.177 -0.166
0.000 2.874 7.781
Ac Tl Sb Se
4 1 2 1
direct
0.000 0.750 0.744
0.000 0.250 0.256
0.500 0.747 0.255
0.500 0.253 0.745
0.500 0.500 0.000
0.000 0.000 0.000
0.500 0.000 0.500
0.000 0.500 0.500
```

Output
For the density, the calculation gives 7.947 g/cm³. As for the energy relative to the elements, uncorrected: -1115.5 meV per atom. The calculation puts the energy at -4.9316 eV/atom. The crystal system is monoclinic. As for the space-group type: P2/m (10).

=====

2.
Density functional theory data (PBE) for a relaxed structure of AcTl3Sb2Se6.

POSCAR file:
```
AcTl3Sb2Se6
1.0
7.510 0.018 0.004
-3.737 6.514 0.004
-1.254 -2.171 7.653
Ac Tl Sb Se
1 3 2 6
direct
0.000 0.000 0.000
0.163 0.837 0.500
0.837 0.163 0.500
0.500 0.500 0.500
0.334 0.666 0.000
0.666 0.334 0.000
0.927 0.577 0.785
0.717 0.717 0.208
0.073 0.423 0.215
0.577 0.927 0.785
0.283 0.283 0.792
0.423 0.073 0.215
```

Output
For the density, the calculation gives 6.895 g/cm³. As for the energy relative to the elements, uncorrected: -707.9 meV per atom. The calculation puts the energy at -4.0712 eV/atom. The crystal system is monoclinic. As for the space-group type: C2/m (12).

=====

3.
Density functional theory data (PBE) for a relaxed structure of Ac6Tl3SbSe2.

POSCAR file:
```
Ac6Tl3SbSe2
1.0
-3.337 -1.854 2.448
-0.469 -7.534 -6.345
8.568 -1.151 6.606
Ac Tl Sb Se
6 3 1 2
direct
0.334 0.911 0.668
0.671 0.565 0.343
0.666 0.089 0.332
0.008 0.246 0.016
0.992 0.754 0.984
0.329 0.435 0.657
0.500 0.500 0.000
0.838 0.183 0.677
0.162 0.817 0.323
0.500 0.000 0.000
0.831 0.671 0.663
0.169 0.329 0.337
```

Output
For the density, the calculation gives 8.418 g/cm³. As for the energy relative to the elements, uncorrected: -935.7 meV per atom. The calculation puts the energy at -4.5058 eV/atom. The crystal system is monoclinic. As for the space-group type: C2/m (12).

=====

4.
Density functional theory data (PBE) for a relaxed structure of AcZnSbSe.

POSCAR file:
```
AcZnSbSe
1.0
5.052 0.000 0.000
0.000 5.052 0.000
0.000 0.000 8.902
Ac Zn Sb Se
2 2 2 2
direct
0.500 0.000 0.690
0.000 0.500 0.310
0.500 0.500 0.000
0.000 0.000 0.000
0.000 0.500 0.863
0.500 0.000 0.137
0.000 0.000 0.500
0.500 0.500 0.500
```

Output
For the density, the calculation gives 7.207 g/cm³. As for the energy relative to the elements, uncorrected: -953.6 meV per atom. The calculation puts the energy at -4.2009 eV/atom. The crystal system is tetragonal. As for the space-group type: P4/nmm (129).

=====

5.
Density functional theory data (PBE) for a relaxed structure of Ac4SiSb3.

POSCAR file:
```
Ac4SiSb3
1.0
-6.498 -1.479 -0.865
1.429 -2.802 -5.938
0.946 -5.926 3.024
Sb Ac Si
3 4 1
direct
0.000 0.500 0.500
0.500 0.000 0.500
0.500 0.500 0.000
0.500 0.000 0.000
0.000 0.500 0.000
0.000 0.000 0.500
0.500 0.500 0.500
0.000 0.000 0.000
```

Output
For the density, the calculation gives 7.122 g/cm³. As for the energy relative to the elements, uncorrected: -958.6 meV per atom. The calculation puts the energy at -5.2366 eV/atom. The crystal system is cubic. As for the space-group type: Pm-3m (221).

=====

6.
Density functional theory data (PBE) for a relaxed structure of AcSiSb.

POSCAR file:
```
AcSiSb
1.0
4.362 0.000 0.000
0.000 4.789 0.000
0.000 -2.394 4.147
Sb Ac Si
1 1 1
direct
0.167 0.000 0.000
0.667 0.667 0.333
0.167 0.333 0.667
```

Output
For the density, the calculation gives 7.224 g/cm³. The calculation puts the excess energy over the best structure of this formula in the dataset at 0 meV per atom. As for the energy relative to the elements, uncorrected: -485.5 meV per atom. The calculation puts the energy at -5.0367 eV/atom. The crystal system is hexagonal. As for the space-group type: P-6m2 (187).

=====

7.
Density functional theory data (PBE) for a relaxed structure of AcSiSb3.

POSCAR file:
```
AcSiSb3
1.0
-1.595 0.789 5.012
0.909 -5.124 1.096
4.992 1.186 1.402
Sb Ac Si
3 1 1
direct
0.000 0.500 0.000
0.000 0.000 0.500
0.500 0.000 0.000
0.500 0.500 0.500
0.000 0.000 0.000
```

Output
For the density, the calculation gives 6.847 g/cm³. As for the energy relative to the elements, uncorrected: -86.2 meV per atom. The calculation puts the energy at -4.4660 eV/atom. The crystal system is cubic. As for the space-group type: Pm-3m (221).

=====

8.
Density functional theory data (PBE) for a relaxed structure of Ac2SiSb.

POSCAR file:
```
Ac2SiSb
1.0
4.460 0.000 0.000
0.000 4.762 -0.846
0.000 -0.138 13.054
Ac Si Sb
4 2 2
direct
0.750 0.682 0.363
0.250 0.318 0.637
0.750 0.939 0.878
0.250 0.061 0.122
0.250 0.469 0.938
0.750 0.531 0.062
0.250 0.188 0.376
0.750 0.812 0.624
```

Output
For the density, the calculation gives 7.246 g/cm³. The calculation puts the excess energy over the best structure of this formula in the dataset at 0 meV per atom. As for the energy relative to the elements, uncorrected: -803.3 meV per atom. The calculation puts the energy at -5.2439 eV/atom. The crystal system is orthorhombic. As for the space-group type: Cmcm (63).